[1]
Crystalline Sr2TlTcO6 at its relaxed geometry. Source: Alexandria, functional PBE-GGA.

Its space group is P4mm, No. 99. The total DFT energy (no corrections) is -64.0 eV for the cell shown. The calculation puts the density of states at the Fermi level at 3.3 states/eV/cell. Its energy relative to the elements, uncorrected is -1754 kJ/mol of formula units. The value obtained for the density is 5.7 Mg/m³.

Lattice parameters (Å, degrees): 5.9105 5.9105 4.8172 90.00 90.00 90.00
Element x y z (fractional)
1 Sr 0.0000 0.5000 0.0000
2 Sr 0.5000 0.0000 0.0000
3 Tl 0.0000 0.0000 0.5674
4 Tc 0.5000 0.5000 0.5894
5 O 0.0000 0.0000 0.0968
6 O 0.2842 0.2842 0.7123
7 O 0.2842 0.7158 0.7123
8 O 0.5000 0.5000 0.2214
9 O 0.7158 0.2842 0.7123
10 O 0.7158 0.7158 0.7123

[2]
Crystalline AsC3 at its relaxed geometry. Source: Alexandria, functional PBE-GGA.

Its space group is Pm-3m, No. 221. The total DFT energy (no corrections) is -17.9 eV for the cell shown. The calculation puts the density of states at the Fermi level at 2.8 states/eV/cell. As for the formation energy: 3.60 eV per atom. The value obtained for the density is 3.0 Mg/m³.

Lattice parameters (Å, degrees): 3.9288 3.9288 3.9288 90.00 90.00 90.00
Element x y z (fractional)
1 As 0.0000 0.0000 0.0000
2 C 0.0000 0.0000 0.5000
3 C 0.0000 0.5000 0.0000
4 C 0.5000 0.0000 0.0000